1.
A relaxed structure of Ca4AlTl. Source: Alexandria, functional PBE.

Geometry as CIF:
```
data_Ca4AlTl
_symmetry_space_group_name_H-M 'R -3 m'
_symmetry_Int_Tables_number 166
_symmetry_space_group_name_Hall '-R 3 2"'
_cell_length_a 5.3710
_cell_length_b 5.3710
_cell_length_c 26.1938
_cell_angle_alpha 90.00
_cell_angle_beta 90.00
_cell_angle_gamma 120.00
loop_
_atom_site_label
_atom_site_fract_x
_atom_site_fract_y
_atom_site_fract_z
Ca1 0.0000 0.0000 0.1230
Ca2 0.0000 0.0000 0.3727
Al1 0.0000 0.0000 0.0000
Tl1 0.0000 0.0000 0.5000
```

Output
Its size of the total moment is 2.0 μB per formula unit. The polymorph energy (0 for the lowest one) comes out at 126 meV per atom. The value obtained for the energy relative to the elements is -0.1074 eV per atom. As for the mass density: 2.982 g cm⁻³. The total energy is -2.4599 eV per atom.

2.
A relaxed structure of CsTc2Ru. Source: Alexandria, functional PBE.

Geometry as CIF:
```
data_CsTc2Ru
_symmetry_space_group_name_H-M 'F m -3 m'
_symmetry_Int_Tables_number 225
_symmetry_space_group_name_Hall '-F 4 2 3'
_cell_length_a 6.564
_cell_length_b 6.564
_cell_length_c 6.564
_cell_angle_alpha 90.00
_cell_angle_beta 90.00
_cell_angle_gamma 90.00
loop_
_atom_site_label
_atom_site_fract_x
_atom_site_fract_y
_atom_site_fract_z
Cs1 0.000 0.000 0.000
Tc1 0.250 0.250 0.250
Ru1 0.000 0.000 0.500
```

Output
Its size of the total moment is 0.0 μB per formula unit. The polymorph energy (0 for the lowest one) comes out at 118 meV per atom. The value obtained for the energy relative to the elements is 1.7961 eV per atom. As for the mass density: 10.097 g cm⁻³. The total energy is -5.9192 eV per atom.

3.
A relaxed structure of Zr5MoOs4. Source: Alexandria, functional PBE.

Geometry as CIF:
```
data_Zr5MoOs4
_symmetry_space_group_name_H-M 'P 4/m m m'
_symmetry_Int_Tables_number 123
_symmetry_space_group_name_Hall '-P 4 2'
_cell_length_a 3.285
_cell_length_b 3.285
_cell_length_c 16.632
_cell_angle_alpha 90.00
_cell_angle_beta 90.00
_cell_angle_gamma 90.00
loop_
_atom_site_label
_atom_site_fract_x
_atom_site_fract_y
_atom_site_fract_z
Zr1 0.000 0.000 0.000
Zr2 0.000 0.000 0.199
Zr3 0.000 0.000 0.397
Mo1 0.500 0.500 0.500
Os1 0.500 0.500 0.099
Os2 0.500 0.500 0.297
```

Output
Its size of the total moment is 0.0 μB per formula unit. The value obtained for the energy relative to the elements is -0.4151 eV per atom. As for the mass density: 12.146 g cm⁻³. The total energy is -10.2642 eV per atom.

4.
A relaxed structure of TaVCu2Ge. Source: Alexandria, functional PBE.

Geometry as CIF:
```
data_TaVCu2Ge
_symmetry_space_group_name_H-M 'P 4/m m m'
_symmetry_Int_Tables_number 123
_symmetry_space_group_name_Hall '-P 4 2'
_cell_length_a 4.281
_cell_length_b 4.281
_cell_length_c 4.590
_cell_angle_alpha 90.00
_cell_angle_beta 90.00
_cell_angle_gamma 90.00
loop_
_atom_site_label
_atom_site_fract_x
_atom_site_fract_y
_atom_site_fract_z
Ta1 0.000 0.000 0.000
V1 0.500 0.500 0.000
Cu1 0.000 0.500 0.500
Ge1 0.500 0.500 0.500
```

Output
Its size of the total moment is 0.0 μB per formula unit. The value obtained for the energy relative to the elements is 0.9199 eV per atom. As for the mass density: 8.522 g cm⁻³. The total energy is -5.8362 eV per atom.

5.
A relaxed structure of Sr2In3HgAu4. Source: Alexandria, functional PBE.

Geometry as CIF:
```
data_Sr2In3HgAu4
_symmetry_space_group_name_H-M 'P -4 m 2'
_symmetry_Int_Tables_number 115
_symmetry_space_group_name_Hall 'P -4 -2'
_cell_length_a 4.556
_cell_length_b 4.556
_cell_length_c 12.334
_cell_angle_alpha 90.00
_cell_angle_beta 90.00
_cell_angle_gamma 90.00
loop_
_atom_site_label
_atom_site_fract_x
_atom_site_fract_y
_atom_site_fract_z
Sr1 0.000 0.500 0.250
In1 0.000 0.000 0.000
In2 0.000 0.500 0.631
Hg1 0.500 0.500 0.000
Au1 0.000 0.000 0.500
Au2 0.000 0.500 0.851
Au3 0.500 0.500 0.500
```

Output
Its size of the total moment is 0.0 μB per formula unit. The value obtained for the energy relative to the elements is -0.4899 eV per atom. As for the mass density: 9.784 g cm⁻³. The total energy is -2.9889 eV per atom.

6.
A relaxed structure of TbPr2PuSb4. Source: Alexandria, functional PBE.

Geometry as CIF:
```
data_TbPr2PuSb4
_symmetry_space_group_name_H-M 'P 1 2/m 1'
_symmetry_Int_Tables_number 10
_symmetry_space_group_name_Hall '-P 2y'
_cell_length_a 7.765
_cell_length_b 4.494
_cell_length_c 7.766
_cell_angle_alpha 90.00
_cell_angle_beta 109.46
_cell_angle_gamma 90.00
loop_
_atom_site_label
_atom_site_fract_x
_atom_site_fract_y
_atom_site_fract_z
Tb1 0.000 0.000 0.000
Pr1 0.500 0.000 0.500
Pr2 0.500 0.500 0.000
Pu1 0.000 0.500 0.500
Sb1 0.240 0.000 0.746
Sb2 0.240 0.500 0.247
```

Output
Its size of the total moment is 5.0 μB per formula unit. As for the mass density: 7.615 g cm⁻³. The total energy is -6.6486 eV per atom.